Entry from Alexandria via LeMat-Bulk: La5SmDy2Y after structural relaxation (PBE).

Cell and atoms, written as CIF:
```
data_La5SmDy2Y
_space_group_name_H-M_alt 'C m c 21'
_space_group_IT_number 36
_space_group_name_Hall 'C 2c -2'
_cell_length_a 5.518
_cell_length_b 21.876
_cell_length_c 10.650
_cell_angle_alpha 90.00
_cell_angle_beta 90.00
_cell_angle_gamma 90.00
loop_
_atom_site_label
_atom_site_fract_x
_atom_site_fract_y
_atom_site_fract_z
_atom_site_occupancy
La1 0.000 0.000 0.000 1
La2 0.000 0.123 0.250 1
La3 0.000 0.221 0.559 1
La4 0.000 0.222 0.939 1
La5 0.000 0.500 0.250 1
Sm1 0.000 0.287 0.249 1
Dy1 0.000 0.387 0.001 1
Dy2 0.000 0.387 0.499 1
Y1 0.000 0.101 0.750 1
```

Entry from Alexandria via LeMat-Bulk: LaSm6Dy2Y3 after structural relaxation (PBE).

Cell and atoms, written as CIF:
```
data_LaSm6Dy2Y3
_space_group_name_H-M_alt 'C 1 2/m 1'
_space_group_IT_number 12
_space_group_name_Hall '-C 2y'
_cell_length_a 6.259
_cell_length_b 10.838
_cell_length_c 11.954
_cell_angle_alpha 90.00
_cell_angle_beta 100.04
_cell_angle_gamma 90.00
loop_
_atom_site_label
_atom_site_fract_x
_atom_site_fract_y
_atom_site_fract_z
_atom_site_occupancy
La1 0.000 0.000 0.000 1
Sm1 0.248 0.333 0.749 1
Sm2 0.250 0.000 0.748 1
Dy1 0.000 0.333 0.000 1
Y1 0.000 0.167 0.500 1
Y2 0.000 0.500 0.500 1
```

Entry from Alexandria via LeMat-Bulk: La2Sm2DyY2 after structural relaxation (PBE).

Cell and atoms, written as CIF:
```
data_La2Sm2DyY2
_space_group_name_H-M_alt 'C 1 2/m 1'
_space_group_IT_number 12
_space_group_name_Hall '-C 2y'
_cell_length_a 11.513
_cell_length_b 5.156
_cell_length_c 8.109
_cell_angle_alpha 90.00
_cell_angle_beta 98.34
_cell_angle_gamma 90.00
loop_
_atom_site_label
_atom_site_fract_x
_atom_site_fract_y
_atom_site_fract_z
_atom_site_occupancy
La1 0.142 0.000 0.426 1
Sm1 0.070 0.500 0.718 1
Dy1 0.000 0.000 0.000 1
Y1 0.215 0.500 0.138 1
```

# LaSmDyY (PBE, optimized geometry)
# - energy above the lowest structure with this stoichiometry (meV per atom) = 0
data_LaSmDyY
_space_group_name_H-M_alt 'I -4 m 2'
_space_group_IT_number 119
_space_group_name_Hall 'I -4 -2'
_cell_length_a 5.143
_cell_length_b 5.143
_cell_length_c 10.216
_cell_angle_alpha 90.00
_cell_angle_beta 90.00
_cell_angle_gamma 90.00
loop_
_atom_site_label
_atom_site_fract_x
_atom_site_fract_y
_atom_site_fract_z
_atom_site_occupancy
La1 0.000 0.000 0.000 1
Sm1 0.000 0.500 0.250 1
Dy1 0.000 0.500 0.750 1
Y1 0.000 0.000 0.500 1

Entry from Alexandria via LeMat-Bulk: LaSm3Dy6Y2 after structural relaxation (PBE).

Cell and atoms, written as CIF:
```
data_LaSm3Dy6Y2
_space_group_name_H-M_alt 'C 1 2/m 1'
_space_group_IT_number 12
_space_group_name_Hall '-C 2y'
_cell_length_a 6.215
_cell_length_b 10.759
_cell_length_c 11.884
_cell_angle_alpha 90.00
_cell_angle_beta 100.00
_cell_angle_gamma 90.00
loop_
_atom_site_label
_atom_site_fract_x
_atom_site_fract_y
_atom_site_fract_z
_atom_site_occupancy
La1 0.000 0.000 0.000 1
Sm1 0.000 0.167 0.500 1
Sm2 0.000 0.500 0.500 1
Dy1 0.249 0.333 0.749 1
Dy2 0.250 0.000 0.749 1
Y1 0.000 0.333 0.000 1
```

Entry from Alexandria via LeMat-Bulk: La3Sm6DyY2 after structural relaxation (PBE).

Cell and atoms, written as CIF:
```
data_La3Sm6DyY2
_space_group_name_H-M_alt 'C 1 2/m 1'
_space_group_IT_number 12
_space_group_name_Hall '-C 2y'
_cell_length_a 6.309
_cell_length_b 10.938
_cell_length_c 12.077
_cell_angle_alpha 90.00
_cell_angle_beta 100.08
_cell_angle_gamma 90.00
loop_
_atom_site_label
_atom_site_fract_x
_atom_site_fract_y
_atom_site_fract_z
_atom_site_occupancy
La1 0.000 0.000 0.000 1
La2 0.000 0.333 0.000 1
Sm1 0.248 0.334 0.745 1
Sm2 0.249 0.000 0.745 1
Dy1 0.000 0.500 0.500 1
Y1 0.000 0.167 0.500 1
```

These records have DFT formation energy values of 1.1; 0.2; 0.2; 0.1; 0.2; 0.2 eV per formula unit, in the order they appear.
These records have total magnetization values of 0.00; 0.00; 0.00; 0.00; 0.00; 0.00 μB per formula unit, in the order they appear.